(1)
Compound: Cd4In2Ga
Source: Alexandria via LeMat-Bulk
Functional: PBE-GGA
Structure: relaxed

Values from the calculation:
- Total magnetic moment: 0.0 μB per formula unit
- Formation enthalpy at 0 K: 0.0345 eV per atom

a = 3.2678 Å, b = 3.2678 Å, c = 17.7865 Å
α = 84.73°, β = 84.73°, γ = 60.00°
Closest atoms and distances in Å follow each position.
Sites, in units of the cell vectors:
Cd 0.8569 0.8569 0.4292  9 Cd 3.14-3.27, 3 In 3.24
Cd 0.2896 0.2896 0.1313  3 Ga 2.99, 3 In 3.24, 6 Cd 3.27
Cd 0.7104 0.7104 0.8687  3 Ga 2.99, 3 In 3.24, 6 Cd 3.27
Cd 0.1431 0.1431 0.5708  9 Cd 3.14-3.27, 3 In 3.24
In 0.4267 0.4267 0.7199  6 Cd 3.24, 6 In 3.27
In 0.5733 0.5733 0.2801  6 Cd 3.24, 6 In 3.27
Ga 0.0000 0.0000 0.0000  6 Cd 2.99, 6 Ga 3.27

***

(2)
Compound: Cd4In7Ga
Source: Alexandria via LeMat-Bulk
Functional: PBE-GGA
Structure: relaxed

Values from the calculation:
- Total magnetic moment: 0.0 μB per formula unit
- Formation enthalpy at 0 K: 0.0281 eV per atom

a = 5.6793 Å, b = 5.6792 Å, c = 12.6711 Å
α = 102.97°, β = 77.03°, γ = 130.49°
Closest atoms and distances in Å follow each position.
Sites, in units of the cell vectors:
In 0.3351 0.6649 0.4207  4 Cd 3.15-3.33, 3 Ga 3.23-3.35, 5 In 3.28-3.36
In 0.0000 0.0000 0.0000  6 In 3.24-3.34, 6 Cd 3.28-3.33
In 0.6675 0.3326 0.8374  6 Cd 3.15-3.36, 6 In 3.28-3.34
In 0.9967 0.0034 0.7446  1 Ga 3.09, 5 Cd 3.19-3.37, 6 In 3.24-3.36
In 0.3325 0.6674 0.1626  6 Cd 3.15-3.36, 6 In 3.28-3.34
In 0.6649 0.3351 0.5793  4 Cd 3.15-3.33, 3 Ga 3.23-3.35, 5 In 3.28-3.36
In 0.0033 0.9966 0.2554  1 Ga 3.09, 5 Cd 3.19-3.37, 6 In 3.24-3.36
Cd 0.3327 0.6674 0.9142  3 Cd 3.10-3.39, 9 In 3.15-3.37
Cd 0.3329 0.6672 0.6697  1 Cd 3.10, 9 In 3.15-3.36, 2 Ga 3.38
Cd 0.6673 0.3326 0.0858  3 Cd 3.10-3.39, 9 In 3.15-3.37
Cd 0.6671 0.3328 0.3303  1 Cd 3.10, 9 In 3.15-3.36, 2 Ga 3.38
Ga 0.0000 0.0000 0.5000  8 In 3.09-3.35, 4 Cd 3.38

***

(3)
Compound: Cd3InGa3
Source: Alexandria via LeMat-Bulk
Functional: PBE-GGA
Structure: relaxed

Values from the calculation:
- Total magnetic moment: 0.0 μB per formula unit
- E above lowest polymorph: 0.000 eV/atom
- Formation enthalpy at 0 K: 0.0538 eV per atom

a = 7.2178 Å, b = 7.2178 Å, c = 7.2178 Å
α = 67.64°, β = 67.64°, γ = 67.64°
Closest atoms and distances in Å follow each position.
Sites, in units of the cell vectors:
Ga 0.8059 0.3942 0.5371  4 Ga 2.91-3.11, 3 Cd 3.00-3.10, 2 In 3.12-3.24
Ga 0.1941 0.6058 0.4629  4 Ga 2.91-3.11, 3 Cd 3.00-3.10, 2 In 3.12-3.24
Ga 0.6058 0.4629 0.1941  4 Ga 2.91-3.11, 3 Cd 3.00-3.10, 2 In 3.12-3.24
Ga 0.3942 0.5371 0.8059  4 Ga 2.91-3.11, 3 Cd 3.00-3.10, 2 In 3.12-3.24
Ga 0.5371 0.8059 0.3942  4 Ga 2.91-3.11, 3 Cd 3.00-3.10, 2 In 3.12-3.24
Ga 0.4629 0.1941 0.6058  4 Ga 2.91-3.11, 3 Cd 3.00-3.10, 2 In 3.12-3.24
Cd 0.0358 0.3216 0.8891  5 Ga 3.00-3.32, 2 In 3.03-3.35, 5 Cd 3.06-3.31
Cd 0.9642 0.6784 0.1109  5 Ga 3.00-3.32, 2 In 3.03-3.35, 5 Cd 3.06-3.31
Cd 0.1109 0.9642 0.6784  5 Ga 3.00-3.32, 2 In 3.03-3.35, 5 Cd 3.06-3.31
Cd 0.6784 0.1109 0.9642  5 Ga 3.00-3.32, 2 In 3.03-3.35, 5 Cd 3.06-3.31
Cd 0.3216 0.8891 0.0358  5 Ga 3.00-3.32, 2 In 3.03-3.35, 5 Cd 3.06-3.31
Cd 0.8891 0.0358 0.3216  5 Ga 3.00-3.32, 2 In 3.03-3.35, 5 Cd 3.06-3.31
In 0.2539 0.2539 0.2539  6 Cd 3.03-3.35, 6 Ga 3.12-3.24
In 0.7461 0.7461 0.7461  6 Cd 3.03-3.35, 6 Ga 3.12-3.24

***

(4)
Compound: CdInGa
Source: Alexandria via LeMat-Bulk
Functional: PBE-GGA
Structure: relaxed

Values from the calculation:
- Total magnetic moment: 0.0 μB per formula unit
- Formation enthalpy at 0 K: 0.0635 eV per atom

a = 4.2501 Å, b = 4.2501 Å, c = 7.9138 Å
α = 90.00°, β = 90.00°, γ = 90.00°
Closest atoms and distances in Å follow each position.
Sites, in units of the cell vectors:
Cd 0.0000 0.5000 0.7588  4 Ga 2.95, 5 In 3.02-3.11
Cd 0.5000 0.0000 0.2412  4 Ga 2.95, 5 In 3.02-3.11
Ga 0.5000 0.5000 0.5000  4 Cd 2.95, 4 Ga 3.01
Ga 0.0000 0.0000 0.5000  4 Cd 2.95, 4 Ga 3.01
In 0.5000 0.0000 0.8590  5 Cd 3.02-3.11
In 0.0000 0.5000 0.1410  5 Cd 3.02-3.11

***

(5)
Compound: Cd2In8Ga
Source: Alexandria via LeMat-Bulk
Functional: PBE-GGA
Structure: relaxed

Values from the calculation:
- Total magnetic moment: 0.0 μB per formula unit
- E above lowest polymorph: 0.000 eV/atom
- Formation enthalpy at 0 K: 0.0379 eV per atom

a = 4.6889 Å, b = 4.6889 Å, c = 13.2214 Å
α = 90.00°, β = 90.00°, γ = 90.00°
Closest atoms and distances in Å follow each position.
Sites, in units of the cell vectors:
In 0.0000 0.5000 0.1387  2 Ga 2.98, 6 In 3.32
In 0.5000 0.0000 0.5000  4 Cd 3.29, 8 In 3.32-3.37
In 0.5000 0.0000 0.1387  2 Ga 2.98, 6 In 3.32
In 0.5000 0.0000 0.8613  2 Ga 2.98, 6 In 3.32
In 0.0000 0.5000 0.8613  2 Ga 2.98, 6 In 3.32
In 0.0000 0.5000 0.5000  4 Cd 3.29, 8 In 3.32-3.37
In 0.5000 0.5000 0.3169  4 Cd 3.32, 8 In 3.32-3.37
In 0.5000 0.5000 0.6831  4 Cd 3.32, 8 In 3.32-3.37
Ga 0.0000 0.0000 0.0000  8 In 2.98
Cd 0.0000 0.0000 0.3249  12 In 3.29-3.40
Cd 0.0000 0.0000 0.6751  12 In 3.29-3.40

***

(6)
Compound: CdIn2Ga2
Source: Alexandria via LeMat-Bulk
Functional: PBE-GGA
Structure: relaxed

Values from the calculation:
- Total magnetic moment: 0.0 μB per formula unit
- Formation enthalpy at 0 K: 0.0891 eV per atom

a = 4.7791 Å, b = 4.7791 Å, c = 12.3487 Å
α = 90.00°, β = 90.00°, γ = 120.00°
Closest atoms and distances in Å follow each position.
Sites, in units of the cell vectors:
In 0.3333 0.6667 0.9053  3 Ga 3.00
In 0.6667 0.3333 0.0947  3 Ga 3.00
In 0.3333 0.6667 0.5947  3 Ga 3.00
In 0.6667 0.3333 0.4053  3 Ga 3.00
Ga 0.0000 0.0000 0.0000  6 In 3.00, 2 Cd 3.09
Ga 0.6667 0.3333 0.7500  3 Cd 2.76
Ga 0.3333 0.6667 0.2500  3 Cd 2.76
Ga 0.0000 0.0000 0.5000  6 In 3.00, 2 Cd 3.09
Cd 0.0000 0.0000 0.2500  5 Ga 2.76-3.09
Cd 0.0000 0.0000 0.7500  5 Ga 2.76-3.09

***

(7)
Compound: CdIn3Ga
Source: Alexandria via LeMat-Bulk
Functional: PBE-GGA
Structure: relaxed

Values from the calculation:
- Total magnetic moment: 0.0 μB per formula unit
- E above lowest polymorph: 0.405 eV/atom
- Formation enthalpy at 0 K: 0.4537 eV per atom

a = 5.5160 Å, b = 5.5160 Å, c = 5.5160 Å
α = 90.00°, β = 90.00°, γ = 90.00°
Closest atoms and distances in Å follow each position.
Sites, in units of the cell vectors:
In 0.0000 0.5000 0.0000  2 Cd 2.76
In 0.5000 0.0000 0.0000  2 Cd 2.76
In 0.0000 0.0000 0.5000  2 Cd 2.76
Cd 0.0000 0.0000 0.0000  6 In 2.76
Ga 0.5000 0.5000 0.5000  12 In 3.90

***

(8)
Compound: Cd7In2Ga2
Source: Alexandria via LeMat-Bulk
Functional: PBE-GGA
Structure: relaxed

Values from the calculation:
- Total magnetic moment: 0.0 μB per formula unit
- Formation enthalpy at 0 K: 0.0924 eV per atom

a = 7.8324 Å, b = 5.9840 Å, c = 5.9840 Å
α = 96.74°, β = 88.51°, γ = 88.51°
Closest atoms and distances in Å follow each position.
Sites, in units of the cell vectors:
In 0.5000 0.8265 0.1735  6 Cd 3.06-3.24, 1 In 3.10
In 0.5000 0.1735 0.8265  6 Cd 3.06-3.24, 1 In 3.10
Cd 0.0000 0.0000 0.0000  2 Ga 2.67
Cd 0.6770 0.5199 0.5199  3 Cd 2.80-3.06, 2 Ga 2.83-2.86
Cd 0.3230 0.4801 0.4801  3 Cd 2.80-3.06, 2 Ga 2.83-2.86
Cd 0.2120 0.9970 0.5101  2 Ga 2.84-2.90, 2 In 3.06-3.11, 2 Cd 3.06-3.17
Cd 0.2120 0.5101 0.9970  2 Ga 2.84-2.90, 2 In 3.06-3.11, 2 Cd 3.06-3.17
Cd 0.7880 0.4899 0.0030  2 Ga 2.84-2.90, 2 In 3.06-3.11, 2 Cd 3.06-3.17
Cd 0.7880 0.0030 0.4899  2 Ga 2.84-2.90, 2 In 3.06-3.11, 2 Cd 3.06-3.17
Ga 0.9985 0.3359 0.3359  1 Ga 2.61, 7 Cd 2.67-2.90
Ga 0.0015 0.6641 0.6641  1 Ga 2.61, 7 Cd 2.67-2.90

***

(9)
Compound: CdIn2Ga6
Source: Alexandria via LeMat-Bulk
Functional: PBE-GGA
Structure: relaxed

Values from the calculation:
- Total magnetic moment: 0.0 μB per formula unit
- E above lowest polymorph: 0.035 eV/atom
- Formation enthalpy at 0 K: 0.0701 eV per atom

a = 3.6579 Å, b = 7.7358 Å, c = 7.7359 Å
α = 65.16°, β = 89.97°, γ = 89.97°
Closest atoms and distances in Å follow each position.
Sites, in units of the cell vectors:
In 0.0002 0.6672 0.6672  12 Ga 3.14-3.37
In 0.9998 0.3328 0.3328  12 Ga 3.14-3.37
Ga 0.5000 0.3381 0.6619  3 Ga 2.62-2.70
Ga 0.5002 0.9948 0.6743  3 Ga 2.62-2.67
Ga 0.4998 0.3257 0.0052  3 Ga 2.62-2.67
Ga 0.5002 0.6743 0.9948  3 Ga 2.62-2.67
Ga 0.4998 0.0052 0.3257  3 Ga 2.62-2.67
Ga 0.5000 0.6619 0.3381  3 Ga 2.62-2.70
Cd 0.0000 0.0000 0.0000  12 Ga 3.13-3.36

***

(10)
Compound: Cd12In4Ga
Source: Alexandria via LeMat-Bulk
Functional: PBE-GGA
Structure: relaxed

Values from the calculation:
- Total magnetic moment: 0.0 μB per formula unit
- Formation enthalpy at 0 K: 0.2340 eV per atom

a = 8.6736 Å, b = 8.6736 Å, c = 8.6736 Å
α = 109.47°, β = 109.47°, γ = 109.47°
Closest atoms and distances in Å follow each position.
Sites, in units of the cell vectors:
Cd 0.8531 0.2061 0.3530  2 In 2.90, 2 Cd 2.94
Cd 0.7939 0.6470 0.1469  2 In 2.90, 2 Cd 2.94
Cd 0.6470 0.1469 0.7939  2 In 2.90, 2 Cd 2.94
Cd 0.1469 0.7939 0.6470  2 In 2.90, 2 Cd 2.94
Cd 0.5001 0.6470 0.8531  2 In 2.90, 2 Cd 2.94
Cd 0.3530 0.8531 0.2061  2 In 2.90, 2 Cd 2.94
Cd 0.4999 0.3530 0.1469  2 In 2.90, 2 Cd 2.94
Cd 0.3530 0.1469 0.4999  2 In 2.90, 2 Cd 2.94
Cd 0.6470 0.8531 0.5001  2 In 2.90, 2 Cd 2.94
Cd 0.1469 0.4999 0.3530  2 In 2.90, 2 Cd 2.94
Cd 0.8531 0.5001 0.6470  2 In 2.90, 2 Cd 2.94
Cd 0.2061 0.3530 0.8531  2 In 2.90, 2 Cd 2.94
In 0.5000 0.5000 0.5000  6 Cd 2.90
In 0.0000 0.5000 0.0000  6 Cd 2.90
In 0.0000 0.0000 0.5000  6 Cd 2.90
In 0.5000 0.0000 0.0000  6 Cd 2.90
Ga 0.0000 0.0000 0.0000  12 Cd 3.83

***

(11)
Compound: Cd2In5Ga
Source: Alexandria via LeMat-Bulk
Functional: PBE-GGA
Structure: relaxed

Values from the calculation:
- Total magnetic moment: 0.0 μB per formula unit
- Formation enthalpy at 0 K: 0.0334 eV per atom

a = 4.6255 Å, b = 4.6255 Å, c = 9.9383 Å
α = 103.46°, β = 103.46°, γ = 90.00°
Closest atoms and distances in Å follow each position.
Sites, in units of the cell vectors:
Cd 0.2498 0.2498 0.4997  4 Cd 3.27, 8 In 3.28
Cd 0.7502 0.7502 0.5003  4 Cd 3.27, 8 In 3.28
In 0.5000 0.5000 0.0000  4 Ga 3.27, 8 In 3.31
In 0.3738 0.8738 0.7475  6 In 3.27-3.31, 4 Cd 3.28, 2 Ga 3.31
In 0.1262 0.6262 0.2525  6 In 3.27-3.31, 4 Cd 3.28, 2 Ga 3.31
In 0.8738 0.3738 0.7475  6 In 3.27-3.31, 4 Cd 3.28, 2 Ga 3.31
In 0.6262 0.1262 0.2525  6 In 3.27-3.31, 4 Cd 3.28, 2 Ga 3.31
Ga 0.0000 0.0000 0.0000  12 In 3.27-3.31

***

(12)
Compound: Cd2InGa
Source: Alexandria via LeMat-Bulk
Functional: PBE-GGA
Structure: relaxed

Values from the calculation:
- Total magnetic moment: 0.0 μB per formula unit
- E above lowest polymorph: 0.013 eV/atom
- Formation enthalpy at 0 K: 0.0506 eV per atom

a = 3.2569 Å, b = 3.2569 Å, c = 8.6743 Å
α = 90.00°, β = 90.00°, γ = 90.00°
Closest atoms and distances in Å follow each position.
Sites, in units of the cell vectors:
In 0.5000 0.5000 0.5000  4 In 3.26, 8 Cd 3.26
Cd 0.0000 0.0000 0.2339  4 Ga 3.07, 4 Cd 3.26, 4 In 3.26
Cd 0.0000 0.0000 0.7661  4 Ga 3.07, 4 Cd 3.26, 4 In 3.26
Ga 0.5000 0.5000 0.0000  8 Cd 3.07, 4 Ga 3.26

***

Number 1: density of states at the Fermi level 1.9 states/eV/cell. Number 2: density of states at the Fermi level 3.6 states/eV/cell. Number 3: density of states at the Fermi level 5.0 states/eV/cell. Number 4: density of states at the Fermi level 3.1 states/eV/cell. Number 5: density of states at the Fermi level 5.0 states/eV/cell. Number 6: density of states at the Fermi level 5.1 states/eV/cell. Number 7: density of states at the Fermi level 4.5 states/eV/cell. Number 8: density of states at the Fermi level 4.1 states/eV/cell. Number 9: density of states at the Fermi level 4.1 states/eV/cell. Number 10: density of states at the Fermi level 9.4 states/eV/cell. Number 11: density of states at the Fermi level 2.9 states/eV/cell. Number 12: density of states at the Fermi level 1.0 states/eV/cell.